This record from Alexandria describes a relaxed structure of BaV2Hg2O7. The functional is PBE+U.

Summary:
Symmetry: No. 155
Calculated total energy: -5.96 eV/atom

Lattice parameters (Å, degrees): 5.669 5.669 8.811 71.23 71.23 60.00
Element x y z (fractional)
1 Hg 0.701 0.701 0.896
2 Hg 0.299 0.299 0.104
3 O 0.605 0.177 0.292
4 O 0.177 0.926 0.292
5 O 0.074 0.823 0.708
6 O 0.823 0.395 0.708
7 O 0.926 0.605 0.292
8 O 0.395 0.074 0.708
9 O 0.000 0.000 0.000
10 V 0.074 0.074 0.778
11 V 0.926 0.926 0.222
12 Ba 0.500 0.500 0.500